1.
A PBEsol-optimized structure of IrAuBr2. Source: Alexandria via LeMat-Bulk, functional SCAN.

abc: 6.671 6.671 6.671
angles: 90.00 90.00 90.00
Space group F-43m (No. 216)
One atom of each set of equivalent atoms:
Ir (0.000, 0.000, 0.000)
Au (0.250, 0.250, 0.250)
Br (0.000, 0.000, 0.500)
Br (0.250, 0.250, 0.750)

Properties
Excess energy over the best structure of this formula in the dataset = 945 meV/atom
Raw formation energy = 1274 meV/atom

2.
A PBEsol-optimized structure of CdTc2Ag. Source: Alexandria via LeMat-Bulk, functional SCAN.

abc: 6.314 6.314 6.314
angles: 90.00 90.00 90.00
Space group F-43m (No. 216)
One atom of each set of equivalent atoms:
Cd (0.000, 0.000, 0.000)
Tc (0.000, 0.000, 0.500)
Tc (0.250, 0.250, 0.750)
Ag (0.250, 0.250, 0.250)

Properties
Formation energy from the elements = 0.566 eV/atom

3.
A PBEsol-optimized structure of BeInN2O. Source: Alexandria via LeMat-Bulk, functional SCAN.

abc: 4.177 4.177 4.093
angles: 90.00 90.00 90.00
Space group P4/mmm (No. 123)
One atom of each set of equivalent atoms:
Be (0.000, 0.000, 0.000)
In (0.500, 0.500, 0.500)
N (0.000, 0.500, 0.500)
O (0.500, 0.500, 0.000)

Properties
Raw formation energy = 1473 meV/atom

4.
A PBEsol-optimized structure of CdTc3. Source: Alexandria via LeMat-Bulk, functional SCAN.

abc: 5.456 7.919 2.764
angles: 90.00 90.00 90.00
Space group Cmmm (No. 65)
One atom of each set of equivalent atoms:
Cd (0.000, 0.000, 0.000)
Tc (0.000, 0.500, 0.000)
Tc (0.250, 0.250, 0.500)

Properties
Excess energy over the best structure of this formula in the dataset = 309 meV/atom
Formation energy from the elements = 0.504 eV/atom

5.
A PBEsol-optimized structure of HoZr. Source: Alexandria via LeMat-Bulk, functional SCAN.

abc: 3.3284 3.3284 5.2784
angles: 90.00 90.00 120.00
Space group P-6m2 (No. 187)
One atom of each set of equivalent atoms:
Ho (0.0000, 0.0000, 0.0000)
Zr (0.6667, 0.3333, 0.5000)

Properties
Formation energy from the elements = 0.081 eV/atom

6.
A PBEsol-optimized structure of Zn2CrSnW. Source: Alexandria via LeMat-Bulk, functional SCAN.

abc: 4.667 4.667 4.366
angles: 90.00 90.00 90.00
Space group P4/mmm (No. 123)
One atom of each set of equivalent atoms:
Zn (0.000, 0.500, 0.000)
Cr (0.000, 0.000, 0.000)
Sn (0.500, 0.500, 0.500)
W (0.000, 0.000, 0.500)

Properties
Formation energy from the elements = 1.182 eV/atom

7.
A PBEsol-optimized structure of ZnH2SeO4. Source: Alexandria via LeMat-Bulk, functional SCAN.

abc: 4.764 12.893 7.177
angles: 90.00 128.05 90.00
Space group P2_1/c (No. 14)
One atom of each set of equivalent atoms:
Zn (0.204, 0.230, 0.373)
H (0.264, 0.612, 0.951)
H (0.418, 0.630, 0.220)
Se (0.374, 0.597, 0.619)
O (0.040, 0.628, 0.632)
O (0.274, 0.177, 0.664)
O (0.284, 0.670, 0.382)
O (0.487, 0.612, 0.117)

Properties
Raw total energy = -9.332 eV/atom

8.
A PBEsol-optimized structure of TaAl2Tc. Source: Alexandria via LeMat-Bulk, functional SCAN.

abc: 3.150 4.439 8.705
angles: 90.00 90.00 90.00
Space group Immm (No. 71)
One atom of each set of equivalent atoms:
Ta (0.000, 0.000, 0.000)
Al (0.000, 0.500, 0.239)
Tc (0.000, 0.000, 0.500)

Properties
Excess energy over the best structure of this formula in the dataset = 108 meV/atom
Formation energy from the elements = -0.355 eV/atom

Record-wise total magnetic moment values, in μB/cell: 7.8; 0.0; 3.0; 0.0; 0.0; 0.0; 0.0; 0.0